<1>
Entry from Alexandria: a geometry-optimized PmPtRh2 structure (PBE).

a b c (Å): 4.0507 4.1678 4.1678
angles (deg): 90.00 90.00 90.00
Fractional positions:
Rh 0.0000 0.0000 0.5000
Rh 0.0000 0.5000 0.0000
Pt 0.5000 0.0000 0.0000
Pm 0.5000 0.5000 0.5000

Properties
Total moment (μB per cell): 0.00
V (Å³ per cell): 70.4



<2>
Entry from Alexandria: a geometry-optimized PmPtRh2 structure (PBE).

a b c (Å): 5.1501 5.3783 12.4978
angles (deg): 90.00 90.00 90.00
Fractional positions:
Pm 0.0000 0.2500 0.5933
Pm 0.5000 0.7500 0.0991
Pm 0.0000 0.7500 0.4067
Pm 0.5000 0.2500 0.9009
Pt 0.5000 0.7500 0.6752
Pt 0.5000 0.2500 0.3248
Pt 0.0000 0.2500 0.3350
Pt 0.0000 0.7500 0.6650
Rh 0.0000 0.0000 0.0000
Rh 0.5000 0.5000 0.5000
Rh 0.2516 0.7500 0.8540
Rh 0.7484 0.2500 0.1460
Rh 0.7484 0.7500 0.8540
Rh 0.2516 0.2500 0.1460
Rh 0.0000 0.5000 0.0000
Rh 0.5000 0.0000 0.5000

Properties
Total moment (μB per cell): 0.01
V (Å³ per cell): 346.2



Q: Which of them is the most stable? A: <1>.



<1>
Entry from Alexandria: a geometry-optimized Pm8PtRh2 structure (PBE).

a b c (Å): 5.1136 6.8800 9.2121
angles (deg): 99.20 106.11 90.00
Fractional positions:
Pm 0.4119 0.5633 0.8239
Pm 0.6674 0.9652 0.3347
Pm 0.7992 0.6624 0.5984
Pm 0.9619 0.2246 0.9238
Pm 0.2008 0.3376 0.4016
Pm 0.3326 0.0348 0.6653
Pm 0.5881 0.4367 0.1761
Pm 0.0381 0.7754 0.0762
Pt 0.5000 0.0000 0.0000
Rh 0.7941 0.2586 0.5882
Rh 0.2059 0.7414 0.4118

Properties
Total moment (μB per cell): 0.00
V (Å³ per cell): 307.0



<2>
Entry from Alexandria: a geometry-optimized Pm8PtRh2 structure (PBE).

a b c (Å): 6.3584 7.6588 7.6588
angles (deg): 113.32 100.72 100.72
Fractional positions:
Pm 0.5902 0.3493 0.0844
Pm 0.5902 0.0844 0.3493
Pm 0.1733 0.3623 0.3623
Pm 0.9818 0.2073 0.7918
Pm 0.9818 0.7918 0.2073
Pm 0.7969 0.6469 0.6469
Pm 0.3662 0.9207 0.6546
Pm 0.3662 0.6546 0.9207
Pt 0.1789 0.0076 0.0076
Rh 0.4871 0.6911 0.3181
Rh 0.4871 0.3181 0.6911

Properties
Total moment (μB per cell): 0.00
V (Å³ per cell): 322.3



Q: Which of them is the most stable? A: <1>.



<1>
Entry from Alexandria: a geometry-optimized PmSmPtRh structure (PBE).

a b c (Å): 3.8895 4.3946 5.7522
angles (deg): 90.00 109.76 90.00
Fractional positions:
Pm 0.1422 0.0000 0.2845
Sm 0.8624 0.5000 0.7249
Pt 0.5852 0.5000 0.1704
Rh 0.4101 0.0000 0.8203

Properties
Total moment (μB per cell): 0.00
V (Å³ per cell): 92.5



<2>
Entry from Alexandria: a geometry-optimized PmSmPtRh structure (PBE).

a b c (Å): 5.0111 5.0111 5.0111
angles (deg): 60.00 60.00 60.00
Fractional positions:
Rh 0.2500 0.2500 0.2500
Sm 0.0000 0.0000 0.0000
Pt 0.7500 0.7500 0.7500
Pm 0.5000 0.5000 0.5000

Properties
Total moment (μB per cell): 0.00
V (Å³ per cell): 89.0



Q: Which of them is the most stable? A: <1>.